1.
Below is crystalline Pr4YHo2Mg at its relaxed geometry, with properties calculated at the PBE level.

a b c (Å): 5.808 5.808 7.810
angles (deg): 90.00 90.00 90.00
Positions (direct):
Pr: 0.000 0.500 0.239
Pr: 0.000 0.500 0.761
Pr: 0.500 0.000 0.239
Pr: 0.500 0.000 0.761
Y: 0.000 0.000 0.500
Ho: 0.000 0.000 0.000
Ho: 0.500 0.500 0.500
Mg: 0.500 0.500 0.000

energy = -0.165 Ha/atom
formation enthalpy at 0 K = 3.9 kJ/mol of atoms

=====

2.
Below is crystalline Pr2YHo2Mg5 at its relaxed geometry, with properties calculated at the PBE level.

a b c (Å): 10.652 10.652 5.080
angles (deg): 90.00 90.00 90.00
Positions (direct):
Pr: 0.176 0.324 0.000
Pr: 0.324 0.824 0.000
Pr: 0.676 0.176 0.000
Pr: 0.824 0.676 0.000
Y: 0.000 0.000 0.000
Y: 0.500 0.500 0.000
Ho: 0.121 0.621 0.000
Ho: 0.379 0.121 0.000
Ho: 0.621 0.879 0.000
Ho: 0.879 0.379 0.000
Mg: 0.000 0.500 0.500
Mg: 0.073 0.803 0.500
Mg: 0.197 0.073 0.500
Mg: 0.303 0.573 0.500
Mg: 0.427 0.303 0.500
Mg: 0.500 0.000 0.500
Mg: 0.573 0.697 0.500
Mg: 0.697 0.427 0.500
Mg: 0.803 0.927 0.500
Mg: 0.927 0.197 0.500

energy = -0.121 Ha/atom
formation enthalpy at 0 K = 1.6 kJ/mol of atoms

=====

3.
Below is crystalline PrYHoMg at its relaxed geometry, with properties calculated at the PBE level.

a b c (Å): 3.691 3.691 9.010
angles (deg): 90.00 90.00 90.00
Positions (direct):
Pr: 0.000 0.000 0.000
Y: 0.500 0.500 0.717
Ho: 0.500 0.500 0.276
Mg: 0.000 0.000 0.496

energy = -0.161 Ha/atom
formation enthalpy at 0 K = -2.8 kJ/mol of atoms
polymorph energy (0 for the lowest one) = 0.0 meV/atom

=====

4.
Below is crystalline Pr6Y2Ho3Mg at its relaxed geometry, with properties calculated at the PBE level.

a b c (Å): 6.272 6.272 11.851
angles (deg): 95.07 95.07 120.03
Positions (direct):
Pr: 0.083 0.415 0.750
Pr: 0.249 0.249 0.249
Pr: 0.415 0.083 0.750
Pr: 0.585 0.917 0.250
Pr: 0.751 0.751 0.751
Pr: 0.917 0.585 0.250
Y: 0.333 0.667 0.500
Y: 0.667 0.333 0.500
Ho: 0.167 0.833 0.000
Ho: 0.500 0.500 0.000
Ho: 0.833 0.167 0.000
Mg: 0.000 0.000 0.500

energy = -0.174 Ha/atom
formation enthalpy at 0 K = 1.9 kJ/mol of atoms

=====

5.
Below is crystalline Pr6Y3Ho2Mg at its relaxed geometry, with properties calculated at the PBE level.

a b c (Å): 6.287 6.287 11.845
angles (deg): 95.08 95.08 120.02
Positions (direct):
Pr: 0.082 0.415 0.247
Pr: 0.251 0.251 0.752
Pr: 0.415 0.082 0.247
Pr: 0.585 0.918 0.753
Pr: 0.749 0.749 0.248
Pr: 0.918 0.585 0.753
Y: 0.167 0.833 0.500
Y: 0.500 0.500 0.500
Y: 0.833 0.167 0.500
Ho: 0.333 0.667 0.000
Ho: 0.667 0.333 0.000
Mg: 0.000 0.000 0.000

energy = -0.179 Ha/atom
formation enthalpy at 0 K = 2.0 kJ/mol of atoms

=====

6.
Below is crystalline PrYHoMg at its relaxed geometry, with properties calculated at the PBE level.

a b c (Å): 7.887 7.887 7.887
angles (deg): 90.00 90.00 90.00
Positions (direct):
Pr: 0.000 0.000 0.000
Pr: 0.000 0.500 0.500
Pr: 0.500 0.000 0.500
Pr: 0.500 0.500 0.000
Y: 0.000 0.000 0.500
Y: 0.000 0.500 0.000
Y: 0.500 0.000 0.000
Y: 0.500 0.500 0.500
Ho: 0.250 0.250 0.250
Ho: 0.250 0.750 0.750
Ho: 0.750 0.250 0.750
Ho: 0.750 0.750 0.250
Mg: 0.250 0.250 0.750
Mg: 0.250 0.750 0.250
Mg: 0.750 0.250 0.250
Mg: 0.750 0.750 0.750

energy = -0.159 Ha/atom
formation enthalpy at 0 K = 3.0 kJ/mol of atoms
polymorph energy (0 for the lowest one) = 60.5 meV/atom

=====

7.
Below is crystalline Pr4Y2HoMg at its relaxed geometry, with properties calculated at the PBE level.

a b c (Å): 5.113 5.113 10.073
angles (deg): 90.00 90.00 90.00
Positions (direct):
Pr: 0.000 0.500 0.246
Pr: 0.000 0.500 0.754
Pr: 0.500 0.000 0.246
Pr: 0.500 0.000 0.754
Y: 0.000 0.000 0.000
Y: 0.500 0.500 0.500
Ho: 0.000 0.000 0.500
Mg: 0.500 0.500 0.000

energy = -0.175 Ha/atom
formation enthalpy at 0 K = 0.6 kJ/mol of atoms

=====

8.
Below is crystalline HoMg8Pt2 at its relaxed geometry, with properties calculated at the PBE level.

a b c (Å): 7.318 7.318 5.190
angles (deg): 97.55 97.55 112.02
Positions (direct):
Ho: 0.000 0.000 0.000
Mg: 0.068 0.328 0.576
Mg: 0.267 0.733 0.000
Mg: 0.328 0.068 0.576
Mg: 0.408 0.408 0.223
Mg: 0.592 0.592 0.777
Mg: 0.672 0.932 0.424
Mg: 0.733 0.267 0.000
Mg: 0.932 0.672 0.424
Pt: 0.310 0.690 0.500
Pt: 0.690 0.310 0.500

energy = -0.110 Ha/atom
formation enthalpy at 0 K = -31.3 kJ/mol of atoms